VASP calculation (GGA-PBE) on a geometry-optimized La8Cu2Os structure.

a = 9.488 Å, b = 9.488 Å, c = 7.469 Å
α = 92.40°, β = 92.40°, γ = 29.70°
Element x y z (fractional)
La (0.013, 0.013, 0.273)
La (0.215, 0.215, 0.836)
La (0.349, 0.349, 0.514)
La (0.406, 0.406, 0.028)
La (0.594, 0.594, 0.972)
La (0.651, 0.651, 0.486)
La (0.785, 0.785, 0.164)
La (0.987, 0.987, 0.727)
Cu (0.185, 0.185, 0.228)
Cu (0.815, 0.815, 0.772)
Os (0.500, 0.500, 0.500)

Summary:
Calculated volume ... 332.8 Å³/cell
SG ... C2/m, No. 12
DFT total energy ... -59.6 eV per formula unit
Total moment ... 0.00 μB per formula unit